1.
AgAs2PtBr | meta-GGA SCAN | PBEsol geometry

Unit cell a=4.883 b=4.883 c=4.905 alpha=90.00 beta=90.00 gamma=90.00
Positions (direct):
Ag 0.000 0.000 0.000
As 0.000 0.500 0.000
As 0.500 0.000 0.000
Pt 0.500 0.500 0.500
Br 0.000 0.000 0.500

## Properties
crystal system: tetragonal
total DFT energy (no corrections): -155.09 eV for the cell shown
N(E_F): 0.57 states/eV per atom
volume: 23.39 Å³ per atom



2.
AgAs2SeBr | meta-GGA SCAN | PBEsol geometry

Unit cell a=5.042 b=5.042 c=4.874 alpha=90.00 beta=90.00 gamma=90.00
Positions (direct):
Ag 0.000 0.000 0.000
As 0.000 0.500 0.000
As 0.500 0.000 0.000
Se 0.000 0.000 0.500
Br 0.500 0.500 0.500

## Properties
crystal system: tetragonal
total DFT energy (no corrections): -106.90 eV for the cell shown
N(E_F): 1.09 states/eV per atom
volume: 24.78 Å³ per atom



3.
AgSnAs2Br | meta-GGA SCAN | PBEsol geometry

Unit cell a=4.933 b=4.933 c=5.221 alpha=90.00 beta=90.00 gamma=90.00
Positions (direct):
Ag 0.000 0.000 0.000
Sn 0.500 0.500 0.500
As 0.000 0.500 0.000
As 0.500 0.000 0.000
Br 0.000 0.000 0.500

## Properties
crystal system: tetragonal
total DFT energy (no corrections): -124.09 eV for the cell shown
N(E_F): 0.67 states/eV per atom
volume: 25.41 Å³ per atom



4.
Ag2SnAsBr | meta-GGA SCAN | PBEsol geometry

Unit cell a=4.837 b=4.837 c=5.485 alpha=90.00 beta=90.00 gamma=90.00
Positions (direct):
Ag 0.000 0.500 0.000
Ag 0.500 0.000 0.000
Sn 0.000 0.000 0.500
As 0.500 0.500 0.000
Br 0.500 0.500 0.500

## Properties
crystal system: tetragonal
total DFT energy (no corrections): -136.37 eV for the cell shown
N(E_F): 0.65 states/eV per atom
volume: 25.67 Å³ per atom



5.
TlAgAsBr2 | meta-GGA SCAN | PBEsol geometry

Unit cell a=5.407 b=5.407 c=4.952 alpha=90.00 beta=90.00 gamma=90.00
Positions (direct):
Tl 0.000 0.000 0.000
Ag 0.500 0.500 0.500
As 0.500 0.500 0.000
Br 0.000 0.500 0.500
Br 0.500 0.000 0.500

## Properties
crystal system: tetragonal
total DFT energy (no corrections): -162.99 eV for the cell shown
N(E_F): 0.29 states/eV per atom
volume: 28.96 Å³ per atom



6.
ZrAgAs2Br | meta-GGA SCAN | PBEsol geometry

Unit cell a=5.152 b=5.152 c=5.197 alpha=90.00 beta=90.00 gamma=90.00
Positions (direct):
Zr 0.000 0.000 0.000
Ag 0.500 0.500 0.500
As 0.000 0.500 0.000
As 0.500 0.000 0.000
Br 0.000 0.000 0.500

## Properties
crystal system: tetragonal
total DFT energy (no corrections): -121.59 eV for the cell shown
N(E_F): 0.52 states/eV per atom
volume: 27.59 Å³ per atom



7.
AgAsC3 | meta-GGA SCAN | PBEsol geometry

Unit cell a=4.082 b=4.082 c=4.082 alpha=90.00 beta=90.00 gamma=90.00
Positions (direct):
Ag 0.000 0.000 0.000
As 0.500 0.500 0.500
C 0.000 0.000 0.500
C 0.000 0.500 0.000
C 0.500 0.000 0.000

## Properties
crystal system: cubic
N(E_F): 0.75 states/eV per atom
ΔE_f: 3360 meV/atom
volume: 13.61 Å³ per atom



8.
CaAg3As | meta-GGA SCAN | PBEsol geometry

Unit cell a=5.080 b=5.080 c=5.080 alpha=90.00 beta=90.00 gamma=90.00
Positions (direct):
Ca 0.000 0.000 0.000
Ag 0.000 0.000 0.500
Ag 0.000 0.500 0.000
Ag 0.500 0.000 0.000
As 0.500 0.500 0.500

## Properties
crystal system: cubic
N(E_F): 0.47 states/eV per atom
ΔE_f: 1206 meV/atom
volume: 26.22 Å³ per atom